This record from Alexandria via LeMat-Bulk describes a relaxed F crystal. The functional is PBE.

Lattice parameters (Å, degrees): 8.5746 3.6310 5.5587 90.00 90.00 90.00
Last column: nearest neighbours and their distance in Å.
Atoms (fractional coordinates):
F1 0.5000 0.1135 0.0000  2 F 1.69
F2 0.0000 0.6304 0.0000  2 F 1.71
F3 0.1948 0.9611 0.5000  2 F 1.68-1.69
F4 0.3388 0.6478 0.5000  2 F 1.68-1.71
F5 0.0000 0.8865 0.5000  2 F 1.69
F6 0.5000 0.3696 0.5000  2 F 1.71
F7 0.6612 0.6478 0.5000  2 F 1.68-1.71
F8 0.3052 0.0389 0.0000  2 F 1.68-1.69
F9 0.8388 0.3522 0.0000  2 F 1.68-1.71
F10 0.6948 0.0389 0.0000  2 F 1.68-1.69
F11 0.8052 0.9611 0.5000  2 F 1.68-1.69
F12 0.1612 0.3522 0.0000  2 F 1.68-1.71

Calculated values
Formation energy from raw total energies ... 0.169 eV per atom
Total magnetic moment ... 0.0 μB/f.u.
SG ... No. 59

This record from Alexandria via LeMat-Bulk describes a relaxed F crystal. The functional is PBE.

Lattice parameters (Å, degrees): 9.5883 10.1140 5.5755 90.00 90.00 90.00
Last column: nearest neighbours and their distance in Å.
Atoms (fractional coordinates):
F1 0.0000 0.7522 0.5000  2 F 1.69
F2 0.5000 0.2522 0.5000  2 F 1.69
F3 0.3501 0.5000 0.0000  2 F 1.69
F4 0.8501 0.5000 0.5000  2 F 1.69
F5 0.3999 0.2500 0.7500  2 F 1.69
F6 0.0000 0.2478 0.5000  2 F 1.69
F7 0.7500 0.5022 0.2500  2 F 1.69
F8 0.3501 0.0000 0.5000  2 F 1.69
F9 0.5000 0.2478 0.0000  2 F 1.69
F10 0.3999 0.7500 0.2500  2 F 1.69
F11 0.6499 0.5000 0.0000  2 F 1.69
F12 0.2500 0.0022 0.2500  2 F 1.69
F13 0.6499 0.0000 0.5000  2 F 1.69
F14 0.5000 0.7522 0.0000  2 F 1.69
F15 0.8999 0.2500 0.2500  2 F 1.69
F16 0.0000 0.2522 0.0000  2 F 1.69
F17 0.2500 0.9978 0.7500  2 F 1.69
F18 0.8501 0.0000 0.0000  2 F 1.69
F19 0.2500 0.5022 0.7500  2 F 1.69
F20 0.1499 0.5000 0.5000  2 F 1.69
F21 0.7500 0.4978 0.7500  2 F 1.69
F22 0.8999 0.7500 0.7500  2 F 1.69
F23 0.1001 0.7500 0.2500  2 F 1.69
F24 0.0000 0.7478 0.0000  2 F 1.69
F25 0.7500 0.0022 0.7500  2 F 1.69
F26 0.6001 0.2500 0.2500  2 F 1.69
F27 0.7500 0.9978 0.2500  2 F 1.69
F28 0.1499 0.0000 0.0000  2 F 1.69
F29 0.6001 0.7500 0.7500  2 F 1.69
F30 0.5000 0.7478 0.5000  2 F 1.69
F31 0.2500 0.4978 0.2500  2 F 1.69
F32 0.1001 0.2500 0.7500  2 F 1.69

Calculated values
Formation energy from raw total energies ... 0.151 eV per atom
Total magnetic moment ... 0.0 μB/f.u.
SG ... No. 70

This record from Alexandria via LeMat-Bulk describes a relaxed F crystal. The functional is PBE.

Lattice parameters (Å, degrees): 8.7086 8.7086 3.0138 90.00 90.00 120.00
Last column: nearest neighbours and their distance in Å.
Atoms (fractional coordinates):
F1 0.8803 0.3539 0.2500  1 F 1.43
F2 0.1744 0.3324 0.7500  1 F 1.43
F3 0.8256 0.6676 0.2500  1 F 1.43
F4 0.1197 0.6461 0.7500  1 F 1.43
F5 0.3324 0.1580 0.2500  1 F 1.43
F6 0.1580 0.8256 0.7500  1 F 1.43
F7 0.6676 0.8420 0.7500  1 F 1.43
F8 0.4736 0.1197 0.2500  1 F 1.43
F9 0.3539 0.4736 0.7500  1 F 1.43
F10 0.8420 0.1744 0.2500  1 F 1.43
F11 0.6461 0.5264 0.2500  1 F 1.43
F12 0.5264 0.8803 0.7500  1 F 1.43

Calculated values
Formation energy from raw total energies ... 0.011 eV per atom
Total magnetic moment ... 0.0 μB/f.u.
SG ... No. 176